Compound: Li3MnCoO5
Source: the Alexandria database
Functional: PBE with a Hubbard U
Structure: relaxed

Structure (POSCAR):
```
Li3MnCoO5
1.0
-2.145 1.782 -0.870
-5.319 -3.415 1.225
-1.548 2.705 9.325
O Co Li Mn
10 2 6 2
direct
0.863 0.275 0.065
0.352 0.294 0.538
0.138 0.724 0.939
0.655 0.691 0.445
0.543 0.915 0.135
0.263 0.476 0.253
0.055 0.892 0.675
0.740 0.520 0.759
0.941 0.118 0.327
0.459 0.083 0.871
0.401 0.199 0.201
0.792 0.416 0.409
0.710 0.582 0.119
0.201 0.598 0.596
0.498 0.997 0.487
0.885 0.227 0.677
0.105 0.792 0.316
0.296 0.408 0.888
0.999 0.002 0.004
0.604 0.793 0.795
```

Output
- SG = P1, No. 1
- energy above the lowest structure with this stoichiometry (eV per atom) = 0.057